*i*
A relaxed structure of Zn2Ir2Rh, computed with PBE.

Unit cell a=7.1538 b=7.1538 c=2.9178 alpha=90.00 beta=90.00 gamma=90.00
Positions (direct):
Zn  0.1705  0.3295  0.0000
Zn  0.3295  0.8295  0.0000
Zn  0.6705  0.1705  0.0000
Zn  0.8295  0.6705  0.0000
Ir  0.1289  0.6289  0.5000
Ir  0.3711  0.1289  0.5000
Ir  0.6289  0.8711  0.5000
Ir  0.8711  0.3711  0.5000
Rh  0.0000  0.0000  0.5000
Rh  0.5000  0.5000  0.5000

*ii*
A relaxed structure of Zn2Ir2Rh, computed with PBE.

Unit cell a=7.1723 b=7.1723 c=2.8208 alpha=90.00 beta=90.00 gamma=90.00
Positions (direct):
Zn  0.1209  0.3791  0.0000
Zn  0.3791  0.8791  0.0000
Zn  0.6209  0.1209  0.0000
Zn  0.8791  0.6209  0.0000
Ir  0.1791  0.6791  0.5000
Ir  0.3209  0.1791  0.5000
Ir  0.6791  0.8209  0.5000
Ir  0.8209  0.3209  0.5000
Rh  0.0000  0.0000  0.0000
Rh  0.5000  0.5000  0.0000

Going by the computed energies, the most stable comes first: *ii*, *i*.